The following is a GGA+U calculation of a geometry-optimized Rb3CaMo2O8 structure, from the Alexandria database.

Values from the calculation:
SG: P-3m1
E_tot: -6.147 eV per atom

Cell lengths 6.261, 6.261, 8.029 Å; angles 90.00, 90.00, 120.00 degrees
Site moments in Bohr magnetons follow the coordinates.
Sites, in units of the cell vectors:
Rb1 0.667 0.333 0.324  0.00
Rb2 0.333 0.667 0.676  0.00
Rb3 0.000 0.000 0.000  0.00
O1 0.333 0.667 0.014  -0.02
O2 0.650 0.825 0.322  -0.02
O3 0.175 0.825 0.322  -0.02
O4 0.825 0.650 0.678  -0.02
O5 0.350 0.175 0.678  -0.02
O6 0.667 0.333 0.986  -0.02
O7 0.175 0.350 0.322  -0.02
O8 0.825 0.175 0.678  -0.02
Mo1 0.333 0.667 0.238  0.53
Mo2 0.667 0.333 0.762  0.53
Ca1 0.000 0.000 0.500  0.02